# 1
Computed, not measured: a relaxed structure of Al2RePt at the PBE level of DFT.

The structure in CIF format:
```
data_Al2RePt
_cell_length_a 2.825
_cell_length_b 2.825
_cell_length_c 7.336
_cell_angle_alpha 90.00
_cell_angle_beta 90.00
_cell_angle_gamma 90.00
_space_group_name_H-M_alt 'P 4/m m m'
_space_group_IT_number 123
_space_group_name_Hall '-P 4 2'
loop_
_atom_site_label
_atom_site_fract_x
_atom_site_fract_y
_atom_site_fract_z
Al1 0.000 0.000 0.249
Re1 0.500 0.500 0.500
Pt1 0.500 0.500 0.000
```

Properties
- Magnetic moment: 0.00 μB/f.u.
- E: -6.960 eV per atom
- Energy of formation: -0.47 eV/atom
- Distance to the lowest polymorph of the same formula: 0.134 eV/atom

***

# 2
Computed, not measured: a relaxed structure of Cs2HfTc at the PBE level of DFT.

The structure in CIF format:
```
data_Cs2HfTc
_cell_length_a 8.411
_cell_length_b 8.411
_cell_length_c 8.411
_cell_angle_alpha 90.00
_cell_angle_beta 90.00
_cell_angle_gamma 90.00
_space_group_name_H-M_alt 'F m -3 m'
_space_group_IT_number 225
_space_group_name_Hall '-F 4 2 3'
loop_
_atom_site_label
_atom_site_fract_x
_atom_site_fract_y
_atom_site_fract_z
Cs1 0.250 0.250 0.250
Hf1 0.000 0.000 0.000
Tc1 0.000 0.000 0.500
```

Properties
- Magnetic moment: 0.99 μB/f.u.
- E: -3.334 eV per atom
- Energy of formation: 2.17 eV/atom
- Distance to the lowest polymorph of the same formula: 0.933 eV/atom

***

# 3
Computed, not measured: a relaxed structure of TlCoCl2 at the PBE level of DFT.

The structure in CIF format:
```
data_TlCoCl2
_cell_length_a 3.452
_cell_length_b 6.330
_cell_length_c 9.021
_cell_angle_alpha 90.00
_cell_angle_beta 90.00
_cell_angle_gamma 90.00
_space_group_name_H-M_alt 'I m m 2'
_space_group_IT_number 44
_space_group_name_Hall 'I 2 -2'
loop_
_atom_site_label
_atom_site_fract_x
_atom_site_fract_y
_atom_site_fract_z
Tl1 0.000 0.000 0.000
Co1 0.000 0.500 0.257
Cl1 0.000 0.000 0.593
Cl2 0.000 0.500 0.745
```

Properties
- Magnetic moment: 2.02 μB/f.u.
- E: -3.456 eV per atom
- Distance to the lowest polymorph of the same formula: 0.281 eV/atom
- E_form (uncorrected): -0.1646 eV per atom

***

# 4
Computed, not measured: a relaxed structure of Cs6HAu2Cl2 at the PBE level of DFT.

The structure in CIF format:
```
data_Cs6HAu2Cl2
_cell_length_a 8.928
_cell_length_b 14.975
_cell_length_c 8.716
_cell_angle_alpha 90.00
_cell_angle_beta 110.11
_cell_angle_gamma 90.00
_space_group_name_H-M_alt 'C 1 2/m 1'
_space_group_IT_number 12
_space_group_name_Hall '-C 2y'
loop_
_atom_site_label
_atom_site_fract_x
_atom_site_fract_y
_atom_site_fract_z
Cs1 0.207 0.000 0.272
Cs2 0.242 0.165 0.755
H1 0.000 0.000 0.500
Au1 0.000 0.337 0.500
Cl1 0.000 0.168 0.000
```

Properties
- Magnetic moment: 0.69 μB/f.u.
- E: -2.539 eV per atom